Entry 1:
Density functional theory data (PBE) for a relaxed structure of Na2CdInH.

Computed properties:
Total energy, eV/atom: -1.928
Polymorph energy (0 for the lowest one), meV per atom: 6

Unit cell a=4.6980 b=4.6980 c=4.6760 alpha=90.00 beta=90.00 gamma=90.00
Atoms (fractional coordinates):
Na1 0.0000 0.5000 0.0000
Na2 0.5000 0.0000 0.0000
Cd1 0.0000 0.0000 0.5000
In1 0.5000 0.5000 0.5000
H1 0.0000 0.0000 0.0000

=====

Entry 2:
Density functional theory data (PBE) for a relaxed structure of Na2TaBi2.

Computed properties:
Total energy, eV/atom: -4.154
Polymorph energy (0 for the lowest one), meV per atom: 0
Energy of formation from the pure elements, eV per atom: 0.297

Unit cell a=7.5681 b=7.5681 c=5.0465 alpha=90.00 beta=90.00 gamma=90.00
Atoms (fractional coordinates):
Na1 0.1626 0.3374 0.0000
Na2 0.3374 0.8374 0.0000
Na3 0.6626 0.1626 0.0000
Na4 0.8374 0.6626 0.0000
Ta1 0.0000 0.0000 0.5000
Ta2 0.5000 0.5000 0.5000
Bi1 0.1566 0.6566 0.5000
Bi2 0.3434 0.1566 0.5000
Bi3 0.6566 0.8434 0.5000
Bi4 0.8434 0.3434 0.5000

=====

Entry 3:
Density functional theory data (PBE) for a relaxed structure of Nd3BiTe3.

Computed properties:
Total energy, eV/atom: -5.158
Polymorph energy (0 for the lowest one), meV per atom: 12
Formation energy without anion corrections, eV/atom: -1.213

Unit cell a=6.3780 b=6.3780 c=6.3780 alpha=90.00 beta=90.00 gamma=90.00
Atoms (fractional coordinates):
Nd1 0.0000 0.0000 0.5000
Nd2 0.0000 0.5000 0.0000
Nd3 0.5000 0.0000 0.0000
Bi1 0.0000 0.0000 0.0000
Te1 0.0000 0.5000 0.5000
Te2 0.5000 0.0000 0.5000
Te3 0.5000 0.5000 0.0000

=====

Entry 4:
Density functional theory data (PBE) for a relaxed structure of KTbUS4.

Computed properties:
Total energy, eV/atom: -6.405
Formation energy without anion corrections, eV/atom: -1.616

Unit cell a=8.3649 b=8.3649 c=8.3649 alpha=119.73 beta=119.68 gamma=90.51
Atoms (fractional coordinates):
K1 0.3767 0.1267 0.2500
K2 0.6233 0.8733 0.7500
Tb1 0.0000 0.0000 0.5000
Tb2 0.0000 0.5000 0.0000
U1 0.0000 0.5000 0.5000
U2 0.5000 0.5000 0.0000
S1 0.1919 0.7278 0.4641
S2 0.2350 0.2776 0.5427
S3 0.2350 0.6923 0.9573
S4 0.2362 0.2722 0.9641
S5 0.7638 0.7278 0.0359
S6 0.7650 0.3077 0.0427
S7 0.7650 0.7224 0.4573
S8 0.8081 0.2722 0.5359

=====

Values for density of states at the Fermi level, states/eV per cell, ordered as above
1.6, 7.8, 2.4, 9.2